# 1
TaSi2Ir: relaxed, PBE.

```
data_TaSi2Ir
_cell_length_a 6.253
_cell_length_b 6.253
_cell_length_c 6.253
_cell_angle_alpha 90.00
_cell_angle_beta 90.00
_cell_angle_gamma 90.00
_symmetry_space_group_name_H-M 'F -4 3 m'
_symmetry_Int_Tables_number 216
_symmetry_space_group_name_Hall 'F -4 2 3'
loop_
_atom_site_label
_atom_site_type_symbol
_atom_site_fract_x
_atom_site_fract_y
_atom_site_fract_z
_atom_site_occupancy
Ta1 Ta 0.000 0.000 0.000 1
Si1 Si 0.000 0.000 0.500 1
Si2 Si 0.250 0.250 0.750 1
Ir1 Ir 0.250 0.250 0.250 1
```

VASP energy ... -7.859 eV/atom

=====

# 2
HfZnFeCu: relaxed, PBE.

```
data_HfZnFeCu
_cell_length_a 6.112
_cell_length_b 6.112
_cell_length_c 6.112
_cell_angle_alpha 90.00
_cell_angle_beta 90.00
_cell_angle_gamma 90.00
_symmetry_space_group_name_H-M 'F -4 3 m'
_symmetry_Int_Tables_number 216
_symmetry_space_group_name_Hall 'F -4 2 3'
loop_
_atom_site_label
_atom_site_type_symbol
_atom_site_fract_x
_atom_site_fract_y
_atom_site_fract_z
_atom_site_occupancy
Hf1 Hf 0.000 0.000 0.000 1
Zn1 Zn 0.000 0.000 0.500 1
Fe1 Fe 0.250 0.250 0.250 1
Cu1 Cu 0.250 0.250 0.750 1
```

Polymorph energy (0 for the lowest one) ... 0 kJ/mol of formula units
DFT formation energy ... -3.8 kJ per mole of atoms

=====

# 3
CdGa2TeSe3: relaxed, PBE.

```
data_CdGa2TeSe3
_cell_length_a 5.924
_cell_length_b 6.012
_cell_length_c 6.915
_cell_angle_alpha 113.85
_cell_angle_beta 114.19
_cell_angle_gamma 91.46
_symmetry_space_group_name_H-M 'P 1'
_symmetry_Int_Tables_number 1
loop_
_symmetry_equiv_pos_as_xyz
'x,y,z'
loop_
_atom_site_label
_atom_site_type_symbol
_atom_site_fract_x
_atom_site_fract_y
_atom_site_fract_z
_atom_site_occupancy
Cd1 Cd 0.000 0.000 0.000 1
Ga1 Ga 0.515 0.486 0.000 1
Ga2 Ga 0.772 0.260 0.512 1
Te1 Te 0.401 0.855 0.291 1
Se1 Se 0.145 0.129 0.730 1
Se2 Se 0.609 0.593 0.729 1
Se3 Se 0.887 0.402 0.271 1
```

VASP energy ... -3.497 eV/atom

=====

# 4
PrYMg6: relaxed, PBE.

```
data_PrYMg6
_cell_length_a 5.212
_cell_length_b 5.212
_cell_length_c 7.394
_cell_angle_alpha 90.00
_cell_angle_beta 90.00
_cell_angle_gamma 90.00
_symmetry_space_group_name_H-M 'P 4/m m m'
_symmetry_Int_Tables_number 123
_symmetry_space_group_name_Hall '-P 4 2'
loop_
_atom_site_label
_atom_site_type_symbol
_atom_site_fract_x
_atom_site_fract_y
_atom_site_fract_z
_atom_site_occupancy
Pr1 Pr 0.000 0.000 0.000 1
Y1 Y 0.500 0.500 0.500 1
Mg1 Mg 0.000 0.000 0.500 1
Mg2 Mg 0.000 0.500 0.255 1
Mg3 Mg 0.500 0.500 0.000 1
```

VASP energy ... -2.670 eV/atom

=====

# 5
NaNiAgW: relaxed, PBE.

```
data_NaNiAgW
_cell_length_a 6.330
_cell_length_b 6.330
_cell_length_c 6.330
_cell_angle_alpha 90.00
_cell_angle_beta 90.00
_cell_angle_gamma 90.00
_symmetry_space_group_name_H-M 'F -4 3 m'
_symmetry_Int_Tables_number 216
_symmetry_space_group_name_Hall 'F -4 2 3'
loop_
_atom_site_label
_atom_site_type_symbol
_atom_site_fract_x
_atom_site_fract_y
_atom_site_fract_z
_atom_site_occupancy
Na1 Na 0.000 0.000 0.000 1
Ni1 Ni 0.250 0.250 0.250 1
Ag1 Ag 0.250 0.250 0.750 1
W1 W 0.000 0.000 0.500 1
```

Polymorph energy (0 for the lowest one) ... 0 kJ/mol of formula units

=====

# 6
Dy3Ni4P4: relaxed, PBE.

```
data_Dy3Ni4P4
_cell_length_a 3.862
_cell_length_b 3.873
_cell_length_c 22.795
_cell_angle_alpha 90.00
_cell_angle_beta 90.00
_cell_angle_gamma 90.00
_symmetry_space_group_name_H-M 'I m m m'
_symmetry_Int_Tables_number 71
_symmetry_space_group_name_Hall '-I 2 2'
loop_
_atom_site_label
_atom_site_type_symbol
_atom_site_fract_x
_atom_site_fract_y
_atom_site_fract_z
_atom_site_occupancy
Dy1 Dy 0.000 0.000 0.000 1
Dy2 Dy 0.000 0.500 0.351 1
Ni1 Ni 0.000 0.000 0.250 1
Ni2 Ni 0.000 0.500 0.095 1
P1 P 0.000 0.000 0.449 1
P2 P 0.000 0.500 0.194 1
```

VASP energy ... -6.395 eV/atom

=====

Number 1: mass density 11.662 g/cm3. Number 2: mass density 10.568 g/cm3. Number 3: mass density 5.117 g/cm3. Number 4: mass density 3.106 g/cm3. Number 5: mass density 9.778 g/cm3. Number 6: mass density 8.244 g/cm3.